VASP calculation (PBE) on Sr2TlIr after structural relaxation.

Results
For the polymorph energy (0 for the lowest one), the calculation gives 0.0 meV per atom. The space-group type is No. 6. For the formation energy, the calculation gives -0.188 eV per atom.

a = 4.637 Å, b = 4.579 Å, c = 6.252 Å
α = 90.00°, β = 111.66°, γ = 90.00°
Fractional coordinates of all 4 atoms:
Sr (0.000, 0.000, 0.000)
Sr (0.285, 0.500, 0.571)
Tl (0.704, 0.000, 0.409)
Ir (0.572, 0.500, 0.146)